(1)
The following is a DFT calculation (PBE) of an optimized crystal structure of Pr4Sm2Cd.

Computed properties:
Distance to the lowest polymorph of the same formula   0.0 meV/atom
SG   No. 65
E   -29.61 eV for the cell shown
Energy of formation   -0.02 eV/atom
Spin magnetization   0.00 Bohr magnetons per cell

POSCAR file:
```
Pr4Sm2Cd
1.0
3.634 0.000 -0.480
0.000 3.647 0.000
0.506 0.000 17.845
Cd Pr Sm
1 4 2
Cartesian
1.817 0.000 -0.240
2.450 0.000 4.556
1.690 0.000 12.810
0.283 1.823 2.145
3.857 1.823 15.221
0.962 1.823 7.290
3.178 1.823 10.075
```


(2)
The following is a DFT calculation (PBE) of an optimized crystal structure of Tl5Os.

Computed properties:
Distance to the lowest polymorph of the same formula   19.5 meV/atom
SG   No. 12
E   -20.33 eV for the cell shown
Energy of formation   0.45 eV/atom
Spin magnetization   0.00 Bohr magnetons per cell

POSCAR file:
```
Tl5Os
1.0
-4.020 -6.058 -1.461
-3.015 -5.183 -4.363
2.677 -9.510 -1.941
Tl Os
5 1
Cartesian
-5.352 -16.212 -6.740
-0.069 -13.105 -3.975
-2.770 -14.697 -5.390
-3.601 -8.078 -3.682
-0.900 -6.486 -2.267
-6.691 -11.457 -5.770
```


(3)
The following is a DFT calculation (PBE) of an optimized crystal structure of La3Nd5Sm4.

Computed properties:
Distance to the lowest polymorph of the same formula   0.0 meV/atom
SG   No. 2
E   -57.30 eV for the cell shown
Energy of formation   0.02 eV/atom
Spin magnetization   0.00 Bohr magnetons per cell

POSCAR file:
```
La3Nd5Sm4
1.0
-0.066 -6.273 -3.823
3.531 10.594 -3.313
2.357 -11.915 5.390
La Nd Sm
3 5 4
Cartesian
4.481 -1.721 -0.755
1.179 -5.957 2.695
1.342 -5.873 -0.990
1.520 -2.643 -2.753
1.146 -9.094 0.784
1.726 0.599 -4.515
4.096 -8.194 2.770
4.303 -4.951 1.007
4.264 -8.094 -0.905
4.458 -4.880 -2.670
1.365 -2.715 0.924
1.559 0.499 -0.840
```


(4)
The following is a DFT calculation (PBE) of an optimized crystal structure of NaDyAgHg.

Computed properties:
SG   No. 216
E   -9.90 eV for the cell shown
Energy of formation   -0.21 eV/atom
Spin magnetization   0.00 Bohr magnetons per cell

POSCAR file:
```
NaDyAgHg
1.0
5.115 0.000 0.000
2.558 4.430 0.000
2.558 1.477 4.177
Dy Ag Na Hg
1 1 1 1
Cartesian
0.000 0.000 0.000
2.558 1.477 1.044
5.115 2.953 2.088
7.673 4.430 3.133
```